# MgPa2Pb

A relaxed MgPa2Pb crystal (PBE-GGA, Alexandria).

Cell: 5.2255 4.3293 4.3293 Å, 90.00 90.00 90.00°
Site moments in Bohr magnetons follow the coordinates.
Positions (direct):
Pb 0.5000 0.0000 0.0000  -0.02
Mg 0.5000 0.5000 0.5000  0.00
Pa 0.0000 0.0000 0.5000  0.38
Pa 0.0000 0.5000 0.0000  0.38

Output
VASP energy (eV for the cell shown): -23.9
Symmetry: P4/mmm, No. 123
ΔH_f (0 K) (eV/atom): 0.094
ρ (g cm⁻³): 11.8
D(E_F) (states/eV per atom): 1.54